Record 1
5
Lattice="-4.0061 -0.9310 -1.8269 -1.2158 -2.8071 4.0967 -1.9870 4.1404 2.2473" Properties=species:S:1:pos:R:3 comment="FeSi2PtI (SCAN, single point on PBEsol structure)" space_group=P4/mmm n_ef_per_ev_fu=3.2 final_energy_ev_per_atom=-26.94 pbc="T T T"
I 0.0000 0.0000 0.0000
Si -0.9935 2.0702 1.1236
Si -0.6079 -1.4035 2.0484
Fe -2.0030 -0.4655 -0.9134
Pt -3.6045 0.2011 2.2586

=====

Record 2
5
Lattice="-1.0081 2.1910 -2.9206 -1.7161 -2.9587 -1.6272 -4.4294 1.2235 2.4468" Properties=species:S:1:pos:R:3 comment="LiMoWO2 (SCAN, single point on PBEsol structure)" space_group=P4/mmm n_ef_per_ev_fu=2.5 final_energy_ev_per_atom=-23.90 pbc="T T T"
Mo -3.5768 0.2279 -1.0505
O -0.8581 -1.4793 -0.8136
O -0.5041 1.0955 -1.4603
W 0.0000 0.0000 0.0000
Li -2.2147 0.6118 1.2234

=====

Record 3
8
Lattice="-0.6331 -5.4695 4.3481 3.2072 -1.3940 -6.0822 4.2039 5.1351 2.2761" Properties=species:S:1:pos:R:3 comment="Ba2BeF (SCAN, single point on PBEsol structure)" space_group=I-42d n_ef_per_ev_fu=4.3 final_energy_ev_per_atom=-22.79 pbc="T T T"
Be 3.7055 1.8706 -1.9031
Be 3.6382 0.7681 2.3605
Ba 2.6795 -0.6280 -3.6176
Ba 2.2458 -2.0358 5.1111
Ba 2.2553 -1.3124 0.3621
Ba 6.3755 0.5193 -0.7716
F 0.0000 0.0000 0.0000
F 3.1398 -2.4965 -1.8186

=====

Record 4
4
Lattice="4.9658 0.0000 0.0000 2.4829 4.3005 0.0000 2.4829 1.4335 5.3867" Properties=species:S:1:pos:R:3 comment="TlHgBr2 (SCAN, single point on PBEsol structure)" space_group=R-3m n_ef_per_ev_fu=1.9 final_energy_ev_per_atom=-45.30 pbc="T T T"
Tl 0.0000 0.0000 0.0000
Hg 4.9658 2.8670 2.6934
Br 2.4829 1.4335 1.4833
Br 7.4486 4.3005 3.9034

=====

Record 5
4
Lattice="3.4915 0.0000 0.0000 0.0000 3.6621 0.0000 -1.7458 -1.8311 6.0741" Properties=species:S:1:pos:R:3 comment="CaOsSe2 (SCAN, single point on PBEsol structure)" space_group=Imm2 n_ef_per_ev_fu=1.4 final_energy_ev_per_atom=-30.77 de_polymorph_mev_per_atom=418.8 pbc="T T T"
Ca 0.0000 0.0000 5.5433
Os 1.7458 0.0000 2.4762
Se 0.0000 0.0000 0.7558
Se 0.0000 1.8311 3.3728

=====

Record 6
5
Lattice="-0.2957 2.1811 3.3148 3.5130 -3.2372 2.4434 4.0361 3.1081 -1.6851" Properties=species:S:1:pos:R:3 comment="YNbZn2O (SCAN, single point on PBEsol structure)" space_group=P4/mmm n_ef_per_ev_fu=3.0 final_energy_ev_per_atom=-18.62 pbc="T T T"
Y 0.0000 0.0000 0.0000
Nb 3.6267 1.0260 2.0365
Zn 2.0181 1.5541 -0.8425
Zn 1.7565 -1.6186 1.2217
O -0.1478 1.0905 1.6574

=====

| no. | ρ (g/cm3) | formation energy without anion corrections (eV per formula unit) | spin magnetization (μB/f.u.) |
| --- | --- | --- | --- |
| 1 | 6.13 | 10.411 | 2.714 |
| 2 | 7.09 | -0.076 | 3.580 |
| 3 | 3.88 | -4.154 | 0.002 |
| 4 | 8.15 | -1.765 | 0.000 |
| 5 | 8.30 | -1.399 | 0.000 |
| 6 | 4.76 | 1.151 | 3.177 |